AcCo2GeO6 PBE+U relaxed; E_tot = -6.589 eV per atom
1.0
5.2385 0.0000 0.0000
2.5385 4.6422 0.0000
2.4671 1.5741 4.8903
Ac Co Ge O
1 2 1 6
Cartesian
0.0000 0.0000 0.0000
2.5858 1.5436 1.6782
7.6610 4.6825 3.7640
5.1397 3.1250 1.9190
4.2305 4.6809 2.7708
3.7235 2.6222 0.6678
4.1814 1.6177 2.8221
5.4084 4.4791 0.5570
6.7602 3.1140 2.8997
6.2504 2.0783 0.6646